# Pr4MgAl3 | Alexandria via LeMat-Bulk | PBE | optimized geometry
data_Pr4MgAl3
_symmetry_space_group_name_H-M 'P 4/m m m'
_symmetry_Int_Tables_number 123
_symmetry_space_group_name_Hall '-P 4 2'
_cell_length_a 5.347
_cell_length_b 5.347
_cell_length_c 7.627
_cell_angle_alpha 90.00
_cell_angle_beta 90.00
_cell_angle_gamma 90.00
loop_
_atom_site_label
_atom_site_type_symbol
_atom_site_fract_x
_atom_site_fract_y
_atom_site_fract_z
Pr1 Pr 0.000 0.500 0.245
Mg1 Mg 0.000 0.000 0.500
Al1 Al 0.000 0.000 0.000
Al2 Al 0.500 0.500 0.000
Al3 Al 0.500 0.500 0.500
# D(E_F) (states/eV/f.u.): 6.6
# Energy (eV/atom): -4.28

# PrMg16Al12 | Alexandria via LeMat-Bulk | PBE | optimized geometry
data_PrMg16Al12
_symmetry_space_group_name_H-M 'I -4 3 m'
_symmetry_Int_Tables_number 217
_symmetry_space_group_name_Hall 'I -4 2 3'
_cell_length_a 10.584
_cell_length_b 10.584
_cell_length_c 10.584
_cell_angle_alpha 90.00
_cell_angle_beta 90.00
_cell_angle_gamma 90.00
loop_
_atom_site_label
_atom_site_type_symbol
_atom_site_fract_x
_atom_site_fract_y
_atom_site_fract_z
Pr1 Pr 0.000 0.000 0.000
Mg1 Mg 0.039 0.358 0.642
Mg2 Mg 0.181 0.181 0.181
Al1 Al 0.092 0.092 0.721
# D(E_F) (states/eV/f.u.): 12.8
# Energy (eV/atom): -2.67
# Polymorph energy (0 for the lowest one) (meV/atom): 0

# Pr2MgAl2 | Alexandria via LeMat-Bulk | PBE | optimized geometry
data_Pr2MgAl2
_symmetry_space_group_name_H-M 'C m m m'
_symmetry_Int_Tables_number 65
_symmetry_space_group_name_Hall '-C 2 2'
_cell_length_a 4.536
_cell_length_b 15.381
_cell_length_c 3.816
_cell_angle_alpha 90.00
_cell_angle_beta 90.00
_cell_angle_gamma 90.00
loop_
_atom_site_label
_atom_site_type_symbol
_atom_site_fract_x
_atom_site_fract_y
_atom_site_fract_z
Pr1 Pr 0.000 0.125 0.000
Mg1 Mg 0.000 0.500 0.500
Al1 Al 0.000 0.297 0.500
# D(E_F) (states/eV/f.u.): 5.9
# Energy (eV/atom): -4.04

# PrMgAl2Pt4 | Alexandria via LeMat-Bulk | PBE | optimized geometry
data_PrMgAl2Pt4
_symmetry_space_group_name_H-M 'R -3 m'
_symmetry_Int_Tables_number 166
_symmetry_space_group_name_Hall '-R 3 2"'
_cell_length_a 4.3157
_cell_length_b 4.3157
_cell_length_c 26.7739
_cell_angle_alpha 90.00
_cell_angle_beta 90.00
_cell_angle_gamma 120.00
loop_
_atom_site_label
_atom_site_type_symbol
_atom_site_fract_x
_atom_site_fract_y
_atom_site_fract_z
Pr1 Pr 0.0000 0.0000 0.0000
Mg1 Mg 0.0000 0.0000 0.5000
Al1 Al 0.0000 0.0000 0.2371
Pt1 Pt 0.0000 0.0000 0.1324
Pt2 Pt 0.0000 0.0000 0.4031
# D(E_F) (states/eV/f.u.): 3.3
# Energy (eV/atom): -5.76

# Pr2MgAlPt6 | Alexandria via LeMat-Bulk | PBE | optimized geometry
data_Pr2MgAlPt6
_symmetry_space_group_name_H-M 'R -3 m'
_symmetry_Int_Tables_number 166
_symmetry_space_group_name_Hall '-R 3 2"'
_cell_length_a 5.6988
_cell_length_b 5.6988
_cell_length_c 22.9738
_cell_angle_alpha 90.00
_cell_angle_beta 90.00
_cell_angle_gamma 120.00
loop_
_atom_site_label
_atom_site_type_symbol
_atom_site_fract_x
_atom_site_fract_y
_atom_site_fract_z
Pr1 Pr 0.0000 0.0000 0.2089
Mg1 Mg 0.0000 0.0000 0.5000
Al1 Al 0.0000 0.0000 0.0000
Pt1 Pt 0.0071 0.5036 0.2547
# D(E_F) (states/eV/f.u.): 3.1
# Energy (eV/atom): -5.90

# PrMgAlPt3 | Alexandria via LeMat-Bulk | PBE | optimized geometry
data_PrMgAlPt3
_symmetry_space_group_name_H-M 'C m c m'
_symmetry_Int_Tables_number 63
_symmetry_space_group_name_Hall '-C 2c 2'
_cell_length_a 7.058
_cell_length_b 12.174
_cell_length_c 5.749
_cell_angle_alpha 90.00
_cell_angle_beta 90.00
_cell_angle_gamma 90.00
loop_
_atom_site_label
_atom_site_type_symbol
_atom_site_fract_x
_atom_site_fract_y
_atom_site_fract_z
Pr1 Pr 0.000 0.200 0.250
Mg1 Mg 0.000 0.460 0.250
Al1 Al 0.000 0.121 0.750
Pt1 Pt 0.000 0.319 0.750
Pt2 Pt 0.203 0.000 0.000
# D(E_F) (states/eV/f.u.): 3.2
# Energy (eV/atom): -5.42

# PrMgAlPt2 | Alexandria via LeMat-Bulk | PBE | optimized geometry
data_PrMgAlPt2
_symmetry_space_group_name_H-M 'I -4 m 2'
_symmetry_Int_Tables_number 119
_symmetry_space_group_name_Hall 'I -4 -2'
_cell_length_a 4.117
_cell_length_b 4.117
_cell_length_c 11.997
_cell_angle_alpha 90.00
_cell_angle_beta 90.00
_cell_angle_gamma 90.00
loop_
_atom_site_label
_atom_site_type_symbol
_atom_site_fract_x
_atom_site_fract_y
_atom_site_fract_z
Pr1 Pr 0.000 0.000 0.000
Mg1 Mg 0.000 0.500 0.750
Al1 Al 0.000 0.500 0.250
Pt1 Pt 0.000 0.000 0.385
# D(E_F) (states/eV/f.u.): 2.9
# Energy (eV/atom): -5.42

# Pr2MgAl3Pt4 | Alexandria via LeMat-Bulk | PBE | optimized geometry
data_Pr2MgAl3Pt4
_symmetry_space_group_name_H-M 'P -4 m 2'
_symmetry_Int_Tables_number 115
_symmetry_space_group_name_Hall 'P -4 -2'
_cell_length_a 4.343
_cell_length_b 4.343
_cell_length_c 10.519
_cell_angle_alpha 90.00
_cell_angle_beta 90.00
_cell_angle_gamma 90.00
loop_
_atom_site_label
_atom_site_type_symbol
_atom_site_fract_x
_atom_site_fract_y
_atom_site_fract_z
Pr1 Pr 0.000 0.500 0.243
Mg1 Mg 0.000 0.000 0.500
Al1 Al 0.000 0.500 0.878
Al2 Al 0.500 0.500 0.500
Pt1 Pt 0.000 0.000 0.000
Pt2 Pt 0.000 0.500 0.640
Pt3 Pt 0.500 0.500 0.000
# D(E_F) (states/eV/f.u.): 7.6
# Energy (eV/atom): -5.70

# Pr2MgAl4Pt3 | Alexandria via LeMat-Bulk | PBE | optimized geometry
data_Pr2MgAl4Pt3
_symmetry_space_group_name_H-M 'P -4 m 2'
_symmetry_Int_Tables_number 115
_symmetry_space_group_name_Hall 'P -4 -2'
_cell_length_a 4.281
_cell_length_b 4.281
_cell_length_c 10.962
_cell_angle_alpha 90.00
_cell_angle_beta 90.00
_cell_angle_gamma 90.00
loop_
_atom_site_label
_atom_site_type_symbol
_atom_site_fract_x
_atom_site_fract_y
_atom_site_fract_z
Pr1 Pr 0.000 0.500 0.238
Mg1 Mg 0.000 0.000 0.500
Al1 Al 0.000 0.000 0.000
Al2 Al 0.000 0.500 0.645
Al3 Al 0.500 0.500 0.000
Pt1 Pt 0.000 0.500 0.873
Pt2 Pt 0.500 0.500 0.500
# D(E_F) (states/eV/f.u.): 5.9
# Energy (eV/atom): -5.35

# PrMgScAl | Alexandria via LeMat-Bulk | PBE | optimized geometry
data_PrMgScAl
_symmetry_space_group_name_H-M 'F -4 3 m'
_symmetry_Int_Tables_number 216
_symmetry_space_group_name_Hall 'F -4 2 3'
_cell_length_a 7.293
_cell_length_b 7.293
_cell_length_c 7.293
_cell_angle_alpha 90.00
_cell_angle_beta 90.00
_cell_angle_gamma 90.00
loop_
_atom_site_label
_atom_site_type_symbol
_atom_site_fract_x
_atom_site_fract_y
_atom_site_fract_z
Pr1 Pr 0.000 0.000 0.000
Mg1 Mg 0.250 0.250 0.750
Sc1 Sc 0.000 0.000 0.500
Al1 Al 0.250 0.250 0.250
# D(E_F) (states/eV/f.u.): 2.4
# Energy (eV/atom): -4.36

# PrMg2Al2Si | Alexandria via LeMat-Bulk | PBE | optimized geometry
data_PrMg2Al2Si
_symmetry_space_group_name_H-M 'I 4/m m m'
_symmetry_Int_Tables_number 139
_symmetry_space_group_name_Hall '-I 4 2'
_cell_length_a 5.317
_cell_length_b 5.317
_cell_length_c 10.994
_cell_angle_alpha 90.00
_cell_angle_beta 90.00
_cell_angle_gamma 90.00
loop_
_atom_site_label
_atom_site_type_symbol
_atom_site_fract_x
_atom_site_fract_y
_atom_site_fract_z
Pr1 Pr 0.000 0.000 0.000
Mg1 Mg 0.000 0.500 0.250
Al1 Al 0.000 0.000 0.286
Si1 Si 0.000 0.000 0.500
# Formation energy (no corrections) (eV/atom): 0.279
# D(E_F) (states/eV/f.u.): 3.4
# Energy (eV/atom): -3.20

# PrThMgAl | Alexandria via LeMat-Bulk | PBE | optimized geometry
data_PrThMgAl
_symmetry_space_group_name_H-M 'F -4 3 m'
_symmetry_Int_Tables_number 216
_symmetry_space_group_name_Hall 'F -4 2 3'
_cell_length_a 7.592
_cell_length_b 7.592
_cell_length_c 7.592
_cell_angle_alpha 90.00
_cell_angle_beta 90.00
_cell_angle_gamma 90.00
loop_
_atom_site_label
_atom_site_type_symbol
_atom_site_fract_x
_atom_site_fract_y
_atom_site_fract_z
Pr1 Pr 0.000 0.000 0.000
Th1 Th 0.000 0.000 0.500
Mg1 Mg 0.250 0.250 0.750
Al1 Al 0.250 0.250 0.250
# D(E_F) (states/eV/f.u.): 2.9
# Energy (eV/atom): -4.52